DFT (PBE-GGA) results for a geometry-optimized SnPd2C structure. Values from VASP.

Results
The symmetry is I-42d (122). The energy above the most stable polymorph in this dataset comes out at 0 meV per atom. The formation energy comes out at 0.4519 eV/atom. Its density of states at the Fermi level is 2.5 states/eV per cell.

```
&SYSTEM
  ibrav = 0, nat = 8, ntyp = 3
/
ATOMIC_SPECIES
Sn 118.71 Sn.upf
Pd 106.42 Pd.upf
C 12.01 C.upf
ATOMIC_POSITIONS angstrom
Sn 0.000 0.000 0.000
Sn 0.000 2.560 2.840
Pd 1.280 -0.669 4.260
Pd 1.890 1.280 1.420
Pd 1.280 3.229 -1.420
Pd 0.669 1.280 7.100
C 2.560 0.000 2.840
C 0.000 0.000 5.680
CELL_PARAMETERS angstrom
-2.560 2.560 5.680
2.560 -2.560 5.680
2.560 2.560 -5.680
```